# 1
The following is a PBE-GGA calculation of ScCuMo after structural relaxation, from Alexandria via LeMat-Bulk.

Results
* excess energy over the best structure of this formula in the dataset: 0.000 eV per atom
* DFT total energy: -6.97 eV per atom
* space group: No. 42
* crystal system: orthorhombic
* calculated formation energy: 0.12 eV per atom
* density of states at the Fermi level: 2.2 states/eV per cell

Unit cell a=6.6077 b=6.6059 c=2.7751 alpha=77.91 beta=77.84 gamma=24.25
Last column: nearest neighbours and their distance in Å.
Element x y z (fractional)
Sc1 0.0000 0.0000 0.0000  4 Sc 2.78, 4 Cu 2.87, 4 Mo 3.03
Cu1 0.6659 0.6659 0.3341  4 Mo 2.73-2.74, 4 Cu 2.78, 4 Sc 2.87
Mo1 0.3170 0.3170 0.6830  4 Cu 2.73-2.74, 4 Mo 2.78, 4 Sc 3.03

---

# 2
The following is a PBE-GGA calculation of RbSN after structural relaxation, from Alexandria via LeMat-Bulk.

Results
* excess energy over the best structure of this formula in the dataset: 0.000 eV per atom
* DFT total energy: -4.94 eV per atom
* space group: No. 12
* crystal system: monoclinic
* density of states at the Fermi level: 3.7 states/eV per cell
* uncorrected formation energy: -467 meV/atom

Unit cell a=9.9676 b=9.9676 c=4.7718 alpha=99.17 beta=99.17 gamma=26.28
Last column: nearest neighbours and their distance in Å.
Element x y z (fractional)
Rb1 0.1601 0.1601 0.4392  6 S 3.20-3.55, 2 N 3.46
Rb2 0.8399 0.8399 0.5608  6 S 3.20-3.55, 2 N 3.46
S1 0.2715 0.2715 0.0136  2 S 2.41
S2 0.7285 0.7285 0.9864  2 S 2.41
N1 0.4736 0.4736 0.5361  1 N 1.13
N2 0.5264 0.5264 0.4639  1 N 1.13

---

# 3
The following is a PBE-GGA calculation of DyMgIr2 after structural relaxation, from Alexandria via LeMat-Bulk.

Results
* DFT total energy: -6.53 eV per atom
* space group: No. 123
* crystal system: tetragonal
* calculated formation energy: -0.55 eV per atom
* density of states at the Fermi level: 1.0 states/eV per cell

Unit cell a=4.5959 b=4.5959 c=3.3557 alpha=90.00 beta=90.00 gamma=90.00
Last column: nearest neighbours and their distance in Å.
Element x y z (fractional)
Dy1 0.0000 0.0000 0.0000  8 Ir 2.85
Mg1 0.5000 0.5000 0.0000  8 Ir 2.85
Ir1 0.0000 0.5000 0.5000  4 Dy 2.85, 4 Mg 2.85
Ir2 0.5000 0.0000 0.5000  4 Dy 2.85, 4 Mg 2.85

---

# 4
The following is a PBE-GGA calculation of CeZr3Sc6 after structural relaxation, from Alexandria via LeMat-Bulk.

Results
* excess energy over the best structure of this formula in the dataset: 0.000 eV per atom
* DFT total energy: -6.92 eV per atom
* space group: No. 11
* crystal system: monoclinic
* calculated formation energy: 0.03 eV per atom
* density of states at the Fermi level: 35.1 states/eV per cell

Unit cell a=10.2844 b=3.2229 c=15.6039 alpha=90.00 beta=108.98 gamma=90.00
Last column: nearest neighbours and their distance in Å.
Element x y z (fractional)
Ce1 0.1541 0.2500 0.3082  4 Sc 3.03-3.27, 2 Ce 3.22
Ce2 0.8459 0.7500 0.6918  4 Sc 3.03-3.27, 2 Ce 3.22
Zr1 0.2512 0.2500 0.0037  9 Sc 2.92-3.27, 2 Zr 3.22
Zr2 0.3493 0.7500 0.6996  5 Sc 2.93-3.17, 4 Zr 3.18-3.22
Zr3 0.4706 0.7500 0.3973  5 Sc 3.16-3.31, 6 Zr 3.18-3.46, 2 Ce 3.49
Zr4 0.5294 0.2500 0.6027  5 Sc 3.16-3.31, 6 Zr 3.18-3.46, 2 Ce 3.49
Zr5 0.6507 0.2500 0.3004  5 Sc 2.93-3.17, 4 Zr 3.18-3.22
Zr6 0.7488 0.7500 0.9963  9 Sc 2.92-3.27, 2 Zr 3.22
Sc1 0.0613 0.7500 0.0954  3 Zr 3.08-3.21, 8 Sc 3.22-3.44
Sc2 0.0740 0.2500 0.6055  2 Zr 3.17, 9 Sc 3.22-3.53, 2 Ce 3.46
Sc3 0.1648 0.7500 0.8184  3 Zr 3.05-3.17, 4 Sc 3.22-3.32, 1 Ce 3.23
Sc4 0.2529 0.7500 0.5014  4 Zr 2.93-3.20, 5 Sc 3.22-3.25, 2 Ce 3.27
Sc5 0.3535 0.2500 0.2015  2 Zr 2.92-2.94, 1 Ce 3.03, 4 Sc 3.22-3.26
Sc6 0.4621 0.2500 0.8999  5 Zr 3.10-3.37, 8 Sc 3.22-3.37
Sc7 0.5379 0.7500 0.1001  5 Zr 3.10-3.37, 8 Sc 3.22-3.37
Sc8 0.6465 0.7500 0.7985  2 Zr 2.92-2.94, 1 Ce 3.03, 4 Sc 3.22-3.26
Sc9 0.7471 0.2500 0.4986  4 Zr 2.93-3.20, 5 Sc 3.22-3.25, 2 Ce 3.27
Sc10 0.8352 0.2500 0.1816  3 Zr 3.05-3.17, 4 Sc 3.22-3.32, 1 Ce 3.23
Sc11 0.9260 0.7500 0.3945  2 Zr 3.17, 9 Sc 3.22-3.53, 2 Ce 3.46
Sc12 0.9387 0.2500 0.9046  3 Zr 3.08-3.21, 8 Sc 3.22-3.44

---

# 5
The following is a PBE-GGA calculation of ScAsPb2 after structural relaxation, from Alexandria via LeMat-Bulk.

Results
* DFT total energy: -4.71 eV per atom
* space group: No. 10
* crystal system: monoclinic
* calculated formation energy: -0.12 eV per atom
* density of states at the Fermi level: 1.5 states/eV per cell

Unit cell a=4.7608 b=4.1539 c=5.5997 alpha=90.00 beta=95.52 gamma=90.00
Last column: nearest neighbours and their distance in Å.
Element x y z (fractional)
Sc1 0.0000 0.0000 0.0000  2 As 2.80
As1 0.0000 0.0000 0.5000  2 Sc 2.80, 4 Pb 2.99
Pb1 0.3826 0.5000 0.7392  2 As 2.99, 2 Pb 3.00-3.02, 2 Sc 3.21
Pb2 0.6174 0.5000 0.2608  2 As 2.99, 2 Pb 3.00-3.02, 2 Sc 3.21

---

# 6
The following is a PBE-GGA calculation of CsCSe after structural relaxation, from Alexandria via LeMat-Bulk.

Results
* excess energy over the best structure of this formula in the dataset: 0.000 eV per atom
* DFT total energy: -4.77 eV per atom
* space group: No. 12
* crystal system: monoclinic
* density of states at the Fermi level: 0.0 states/eV per cell
* uncorrected formation energy: -254 meV/atom

Unit cell a=6.4508 b=6.4508 c=4.7968 alpha=94.12 beta=94.12 gamma=95.78
Last column: nearest neighbours and their distance in Å.
Element x y z (fractional)
Cs1 0.2464 0.7536 0.0000  4 C 3.36-3.48
Cs2 0.7536 0.2464 0.0000  4 C 3.36-3.48
C1 0.0716 0.0716 0.4949  1 C 1.25
C2 0.9284 0.9284 0.5051  1 C 1.25
Se1 0.2807 0.2807 0.4583  1 C 1.84
Se2 0.7193 0.7193 0.5417  1 C 1.84

---

# 7
The following is a PBE-GGA calculation of ZrCdAg2 after structural relaxation, from Alexandria via LeMat-Bulk.

Results
* DFT total energy: -3.88 eV per atom
* space group: No. 225
* crystal system: cubic
* calculated formation energy: -0.09 eV per atom
* density of states at the Fermi level: 1.3 states/eV per cell

Unit cell a=4.7914 b=4.7914 c=4.7914 alpha=60.00 beta=60.00 gamma=60.00
Last column: nearest neighbours and their distance in Å.
Element x y z (fractional)
Zr1 0.0000 0.0000 0.0000  8 Ag 2.93
Cd1 0.5000 0.5000 0.5000  8 Ag 2.93
Ag1 0.2500 0.2500 0.2500  4 Cd 2.93, 4 Zr 2.93
Ag2 0.7500 0.7500 0.7500  4 Cd 2.93, 4 Zr 2.93

---

# 8
The following is a PBE-GGA calculation of U2AlTc4 after structural relaxation, from Alexandria via LeMat-Bulk.

Results
* DFT total energy: -9.65 eV per atom
* space group: No. 139
* crystal system: tetragonal
* calculated formation energy: 0.03 eV per atom
* density of states at the Fermi level: 8.8 states/eV per cell

Unit cell a=5.5013 b=5.5013 c=5.5013 alpha=114.92 beta=114.92 gamma=99.06
Last column: nearest neighbours and their distance in Å.
Element x y z (fractional)
U1 0.0000 0.5000 0.5000  8 Tc 2.75, 2 Al 2.96
U2 0.5000 0.0000 0.5000  8 Tc 2.75, 2 Al 2.96
Al1 0.0000 0.0000 0.0000  8 Tc 2.75, 4 U 2.96
Tc1 0.0000 0.0000 0.5000  4 U 2.75, 2 Al 2.75, 4 Tc 2.96
Tc2 0.0000 0.5000 0.0000  4 U 2.75, 2 Al 2.75, 4 Tc 2.96
Tc3 0.5000 0.0000 0.0000  4 U 2.75, 2 Al 2.75, 4 Tc 2.96
Tc4 0.5000 0.5000 0.5000  4 U 2.75, 2 Al 2.75, 4 Tc 2.96

---

Please write out number 6 again, unchanged.
The following is a PBE-GGA calculation of CsCSe after structural relaxation, from Alexandria via LeMat-Bulk.

Results
* excess energy over the best structure of this formula in the dataset: 0.000 eV per atom
* DFT total energy: -4.77 eV per atom
* space group: No. 12
* crystal system: monoclinic
* density of states at the Fermi level: 0.0 states/eV per cell
* uncorrected formation energy: -254 meV/atom

Unit cell a=6.4508 b=6.4508 c=4.7968 alpha=94.12 beta=94.12 gamma=95.78
Last column: nearest neighbours and their distance in Å.
Element x y z (fractional)
Cs1 0.2464 0.7536 0.0000  4 C 3.36-3.48
Cs2 0.7536 0.2464 0.0000  4 C 3.36-3.48
C1 0.0716 0.0716 0.4949  1 C 1.25
C2 0.9284 0.9284 0.5051  1 C 1.25
Se1 0.2807 0.2807 0.4583  1 C 1.84
Se2 0.7193 0.7193 0.5417  1 C 1.84

---

> Among the records above, which one has the highest DFT total energy?

ZrCdAg2